# Sc3Al4Hg2

An optimized crystal structure of Sc3Al4Hg2 (PBE-GGA, Alexandria via LeMat-Bulk).

abc: 4.5440 5.6175 8.5148
angles: 115.45 90.00 113.86
Fractional coordinates of all 9 atoms:
Al (0.9558, 0.9117, 0.6193)
Al (0.2634, 0.5267, 0.9352)
Al (0.0442, 0.0883, 0.3807)
Al (0.7366, 0.4733, 0.0648)
Hg (0.6161, 0.2322, 0.2805)
Hg (0.3839, 0.7678, 0.7195)
Sc (0.3360, 0.6719, 0.3294)
Sc (0.0000, 0.0000, 0.0000)
Sc (0.6640, 0.3281, 0.6706)

- calculated volume (Å³/cell) = 175.5
- VASP energy (eV/atom) = -4.249
- ΔH_f (0 K) (kJ/mol of formula units) = -355
- M_tot (μB/f.u.) = 0.0
- symmetry = No. 12